Compound: Cu3SbRu
Source: the Alexandria database
Functional: PBE
Structure: relaxed

Lattice parameters (Å, degrees): 4.6203 4.6203 4.6203 90.00 90.00 90.00
Last column: nearest neighbours and their distance in Å.
Space group Pm-3m (No. 221)
Symmetry-distinct sites (fractional):
1 Cu 0.0000 0.0000 0.5000 [3 per cell]  2 Ru 2.31
2 Sb 0.5000 0.5000 0.5000 [1 per cell]  12 Cu 3.27
3 Ru 0.0000 0.0000 0.0000 [1 per cell]  6 Cu 2.31

Properties
- Spin magnetization: 0.0 μB per cell
- D(E_F): 4.033 states/eV/f.u.
- Total energy: -4.042 eV/atom
- V: 99 Å³/cell


Compound: Cu2SbRu
Source: the Alexandria database
Functional: PBE
Structure: relaxed

Lattice parameters (Å, degrees): 6.1970 6.1970 6.1970 90.00 90.00 90.00
Last column: nearest neighbours and their distance in Å.
Space group F-43m (No. 216)
Symmetry-distinct sites (fractional):
1 Cu 0.0000 0.0000 0.0000 [4 per cell]  4 Cu 2.68, 4 Sb 2.68
2 Cu 0.2500 0.2500 0.2500 [4 per cell]  4 Ru 2.68, 4 Cu 2.68
3 Sb 0.2500 0.2500 0.7500 [4 per cell]  4 Ru 2.68, 4 Cu 2.68
4 Ru 0.0000 0.0000 0.5000 [4 per cell]  4 Sb 2.68, 4 Cu 2.68

Properties
- Spin magnetization: 0.0 μB per cell
- D(E_F): 2.325 states/eV/f.u.
- Total energy: -5.251 eV/atom
- V: 238 Å³/cell


Compound: CuSb2Ru
Source: the Alexandria database
Functional: PBE
Structure: relaxed

Lattice parameters (Å, degrees): 3.3137 3.3137 7.4588 90.00 90.00 90.00
Last column: nearest neighbours and their distance in Å.
Space group P4mm (No. 99)
Symmetry-distinct sites (fractional):
1 Cu 0.0000 0.0000 0.0000 [1 per cell]  4 Ru 2.73, 5 Sb 2.73-2.82
2 Sb 0.0000 0.0000 0.3778 [1 per cell]  4 Ru 2.74, 1 Cu 2.82
3 Sb 0.5000 0.5000 0.8115 [1 per cell]  4 Cu 2.73, 1 Ru 2.81
4 Ru 0.5000 0.5000 0.1876 [1 per cell]  4 Cu 2.73, 5 Sb 2.74-2.81

Properties
- Spin magnetization: 0.0 μB per cell
- D(E_F): 2.846 states/eV/f.u.
- Total energy: -5.297 eV/atom
- V: 82 Å³/cell


Compound: Cu2SbRu
Source: the Alexandria database
Functional: PBE
Structure: relaxed

Lattice parameters (Å, degrees): 3.8425 3.8425 4.0062 90.00 90.00 90.00
Last column: nearest neighbours and their distance in Å.
Space group P4/mmm (No. 123)
Symmetry-distinct sites (fractional):
1 Cu 0.0000 0.5000 0.0000 [2 per cell]  4 Cu 2.72, 4 Sb 2.78, 4 Ru 2.78
2 Sb 0.0000 0.0000 0.5000 [1 per cell]  4 Ru 2.72, 8 Cu 2.78
3 Ru 0.5000 0.5000 0.5000 [1 per cell]  4 Sb 2.72, 8 Cu 2.78

Properties
- Spin magnetization: 0.0 μB per cell
- D(E_F): 2.122 states/eV/f.u.
- Total energy: -5.281 eV/atom
- V: 59 Å³/cell


Compound: CuSb2Ru
Source: the Alexandria database
Functional: PBE
Structure: relaxed

Lattice parameters (Å, degrees): 3.1592 3.1947 7.8388 90.00 91.00 90.00
Last column: nearest neighbours and their distance in Å.
Space group P2/m (No. 10)
Symmetry-distinct sites (fractional):
1 Cu 0.0000 0.0000 0.0000 [1 per cell]  4 Sb 2.73
2 Sb 0.0101 0.5000 0.7179 [2 per cell]  2 Cu 2.73, 4 Ru 2.82
3 Ru 0.5000 0.0000 0.5000 [1 per cell]  8 Sb 2.82, 2 Ru 3.16

Properties
- Spin magnetization: 0.0 μB per cell
- D(E_F): 2.903 states/eV/f.u.
- Total energy: -5.241 eV/atom
- V: 79 Å³/cell


Compound: CuSb2Ru
Source: the Alexandria database
Functional: PBE
Structure: relaxed

Lattice parameters (Å, degrees): 3.3251 3.3251 23.7922 90.00 90.00 120.00
Last column: nearest neighbours and their distance in Å.
Space group R-3m (No. 166, hexagonal axes)
Symmetry-distinct sites (fractional):
1 Cu 0.0000 0.0000 0.0000 [3 per cell]  6 Sb 2.80
2 Sb 0.0000 0.0000 0.2479 [6 per cell]  3 Ru 2.72, 3 Cu 2.80
3 Ru 0.0000 0.0000 0.5000 [3 per cell]  6 Sb 2.72

Properties
- Spin magnetization: 0.0 μB per cell
- D(E_F): 3.038 states/eV/f.u.
- Total energy: -5.276 eV/atom
- V: 228 Å³/cell


Compound: CuSbRu4
Source: the Alexandria database
Functional: PBE
Structure: relaxed

Lattice parameters (Å, degrees): 7.3058 7.3058 7.3058 90.00 90.00 90.00
Last column: nearest neighbours and their distance in Å.
Space group F-43m (No. 216)
Symmetry-distinct sites (fractional):
1 Cu 0.0000 0.0000 0.0000 [4 per cell]  12 Ru 3.03, 4 Sb 3.16
2 Sb 0.2500 0.2500 0.2500 [4 per cell]  12 Ru 3.03, 4 Cu 3.16
3 Ru 0.1253 0.1253 0.6253 [16 per cell]  6 Ru 2.58-2.59

Properties
- Spin magnetization: 12.5 μB per cell
- D(E_F): 7.865 states/eV/f.u.
- Total energy: -6.925 eV/atom
- V: 390 Å³/cell


Compound: Cu2SbRu
Source: the Alexandria database
Functional: PBE
Structure: relaxed

Lattice parameters (Å, degrees): 3.3054 3.3054 5.5661 90.00 90.00 90.00
Last column: nearest neighbours and their distance in Å.
Space group P4mm (No. 99)
Symmetry-distinct sites (fractional):
1 Cu 0.0000 0.0000 0.0000 [1 per cell]  4 Cu 2.56, 2 Sb 2.70-2.86, 4 Ru 2.81
2 Cu 0.5000 0.5000 0.1893 [1 per cell]  4 Cu 2.56, 1 Ru 2.61, 4 Sb 2.86
3 Sb 0.0000 0.0000 0.4856 [1 per cell]  4 Ru 2.68, 6 Cu 2.70-2.86
4 Ru 0.5000 0.5000 0.7210 [1 per cell]  5 Cu 2.61-2.81, 4 Sb 2.68

Properties
- Spin magnetization: 0.0 μB per cell
- D(E_F): 1.739 states/eV/f.u.
- Total energy: -5.294 eV/atom
- V: 61 Å³/cell


Compound: CuSb2Ru
Source: the Alexandria database
Functional: PBE
Structure: relaxed

Lattice parameters (Å, degrees): 3.1119 4.0332 12.6306 90.00 90.00 90.00
Last column: nearest neighbours and their distance in Å.
Space group Imm2 (No. 44)
Symmetry-distinct sites (fractional):
1 Cu 0.0000 0.0000 0.0000 [2 per cell]  6 Sb 2.74-2.91
2 Sb 0.0000 0.0000 0.3889 [2 per cell]  2 Ru 2.72, 4 Cu 2.91
3 Sb 0.0000 0.5000 0.1464 [2 per cell]  4 Ru 2.68, 2 Cu 2.74
4 Ru 0.0000 0.5000 0.7126 [2 per cell]  6 Sb 2.68-2.72

Properties
- Spin magnetization: 0.0 μB per cell
- D(E_F): 1.898 states/eV/f.u.
- Total energy: -5.271 eV/atom
- V: 159 Å³/cell


Compound: Cu2SbRu
Source: the Alexandria database
Functional: PBE
Structure: relaxed

Lattice parameters (Å, degrees): 3.8565 3.8565 7.9170 90.00 90.00 90.00
Last column: nearest neighbours and their distance in Å.
Space group I-4m2 (No. 119)
Symmetry-distinct sites (fractional):
1 Cu 0.0000 0.0000 0.0000 [2 per cell]  4 Sb 2.73, 4 Ru 2.76, 4 Cu 2.76
2 Cu 0.0000 0.5000 0.2500 [2 per cell]  4 Ru 2.73, 4 Sb 2.76, 4 Cu 2.76
3 Sb 0.0000 0.0000 0.5000 [2 per cell]  8 Cu 2.73-2.76, 4 Ru 2.76
4 Ru 0.0000 0.5000 0.7500 [2 per cell]  8 Cu 2.73-2.76, 4 Sb 2.76

Properties
- Spin magnetization: 0.0 μB per cell
- D(E_F): 2.303 states/eV/f.u.
- Total energy: -5.324 eV/atom
- V: 118 Å³/cell


Compound: CuSb3Ru
Source: the Alexandria database
Functional: PBE
Structure: relaxed

Lattice parameters (Å, degrees): 5.1065 5.1065 5.1065 90.00 90.00 90.00
Last column: nearest neighbours and their distance in Å.
Space group Pm-3m (No. 221)
Symmetry-distinct sites (fractional):
1 Cu 0.0000 0.0000 0.0000 [1 per cell]  12 Sb 3.61
2 Sb 0.0000 0.5000 0.5000 [3 per cell]  2 Ru 2.55
3 Ru 0.5000 0.5000 0.5000 [1 per cell]  6 Sb 2.55

Properties
- Spin magnetization: 0.0 μB per cell
- D(E_F): 2.084 states/eV/f.u.
- Total energy: -4.491 eV/atom
- V: 133 Å³/cell


Compound: TaCuSbRu2
Source: the Alexandria database
Functional: PBE
Structure: relaxed

Lattice parameters (Å, degrees): 4.7059 4.7059 5.2834 90.00 90.00 90.00
Last column: nearest neighbours and their distance in Å.
Space group P4/mmm (No. 123)
Symmetry-distinct sites (fractional):
1 Ta 0.0000 0.0000 0.0000 [1 per cell]  4 Ru 2.35
2 Cu 0.5000 0.5000 0.5000 [1 per cell]  4 Sb 3.33, 8 Ru 3.54
3 Sb 0.0000 0.0000 0.5000 [1 per cell]  2 Ta 2.64
4 Ru 0.0000 0.5000 0.0000 [2 per cell]  2 Ta 2.35

Properties
- Spin magnetization: 0.4 μB per cell
- D(E_F): 4.902 states/eV/f.u.
- Total energy: -6.243 eV/atom
- V: 117 Å³/cell


Compound: CuSb2TeRu
Source: the Alexandria database
Functional: PBE
Structure: relaxed

Lattice parameters (Å, degrees): 4.9272 4.9272 5.0519 90.00 90.00 90.00
Last column: nearest neighbours and their distance in Å.
Space group P4/mmm (No. 123)
Symmetry-distinct sites (fractional):
1 Cu 0.0000 0.0000 0.0000 [1 per cell]  4 Sb 2.46, 2 Te 2.53
2 Sb 0.0000 0.5000 0.0000 [2 per cell]  2 Cu 2.46
3 Te 0.0000 0.0000 0.5000 [1 per cell]  2 Cu 2.53
4 Ru 0.5000 0.5000 0.5000 [1 per cell]  4 Te 3.48, 8 Sb 3.53

Properties
- Spin magnetization: 0.7 μB per cell
- D(E_F): 6.178 states/eV/f.u.
- Total energy: -3.925 eV/atom
- V: 123 Å³/cell


Compound: CuSb2TeRu
Source: the Alexandria database
Functional: PBE
Structure: relaxed

Lattice parameters (Å, degrees): 4.9810 4.9810 5.5758 90.00 90.00 90.00
Last column: nearest neighbours and their distance in Å.
Space group P4/mmm (No. 123)
Symmetry-distinct sites (fractional):
1 Cu 0.0000 0.0000 0.0000 [1 per cell]  4 Te 3.52, 8 Sb 3.74
2 Sb 0.0000 0.5000 0.5000 [2 per cell]  2 Ru 2.49
3 Te 0.5000 0.5000 0.0000 [1 per cell]  2 Ru 2.79
4 Ru 0.5000 0.5000 0.5000 [1 per cell]  4 Sb 2.49, 2 Te 2.79

Properties
- Spin magnetization: 0.0 μB per cell
- D(E_F): 3.435 states/eV/f.u.
- Total energy: -4.271 eV/atom
- V: 138 Å³/cell


Compound: TiCuSbRu2
Source: the Alexandria database
Functional: PBE
Structure: relaxed

Lattice parameters (Å, degrees): 4.5617 4.5617 4.3489 90.00 90.00 90.00
Last column: nearest neighbours and their distance in Å.
Space group P4/mmm (No. 123)
Symmetry-distinct sites (fractional):
1 Ti 0.0000 0.0000 0.0000 [1 per cell]  2 Cu 2.17
2 Cu 0.0000 0.0000 0.5000 [1 per cell]  2 Ti 2.17, 4 Ru 2.28
3 Sb 0.5000 0.5000 0.0000 [1 per cell]  8 Ru 3.15, 4 Ti 3.23
4 Ru 0.0000 0.5000 0.5000 [2 per cell]  2 Cu 2.28

Properties
- Spin magnetization: 0.0 μB per cell
- D(E_F): 6.360 states/eV/f.u.
- Total energy: -6.101 eV/atom
- V: 90 Å³/cell


Compound: VCuSb2Ru
Source: the Alexandria database
Functional: PBE
Structure: relaxed

Lattice parameters (Å, degrees): 5.0731 5.0731 4.6574 90.00 90.00 90.00
Last column: nearest neighbours and their distance in Å.
Space group P4/mmm (No. 123)
Symmetry-distinct sites (fractional):
1 V 0.0000 0.0000 0.0000 [1 per cell]  2 Ru 2.33
2 Cu 0.5000 0.5000 0.0000 [1 per cell]  8 Sb 3.44, 4 V 3.59
3 Sb 0.0000 0.5000 0.5000 [2 per cell]  2 Ru 2.54
4 Ru 0.0000 0.0000 0.5000 [1 per cell]  2 V 2.33, 4 Sb 2.54

Properties
- Spin magnetization: 2.5 μB per cell
- D(E_F): 3.933 states/eV/f.u.
- Total energy: -5.349 eV/atom
- V: 120 Å³/cell


Compound: ZrCuSbRu
Source: the Alexandria database
Functional: PBE
Structure: relaxed

Lattice parameters (Å, degrees): 6.4903 6.4903 6.4903 90.00 90.00 90.00
Last column: nearest neighbours and their distance in Å.
Space group F-43m (No. 216)
Symmetry-distinct sites (fractional):
1 Zr 0.0000 0.0000 0.0000 [4 per cell]  4 Ru 2.81, 4 Cu 2.81
2 Cu 0.2500 0.2500 0.2500 [4 per cell]  4 Zr 2.81, 4 Sb 2.81
3 Sb 0.0000 0.0000 0.5000 [4 per cell]  4 Ru 2.81, 4 Cu 2.81
4 Ru 0.2500 0.2500 0.7500 [4 per cell]  4 Zr 2.81, 4 Sb 2.81

Properties
- Spin magnetization: 0.0 μB per cell
- D(E_F): 0.836 states/eV/f.u.
- Total energy: -6.803 eV/atom
- V: 273 Å³/cell


Compound: ScCuRu2
Source: the Alexandria database
Functional: PBE
Structure: relaxed

Lattice parameters (Å, degrees): 6.2118 6.2118 6.2118 90.00 90.00 90.00
Last column: nearest neighbours and their distance in Å.
Space group F-43m (No. 216)
Symmetry-distinct sites (fractional):
1 Sc 0.0000 0.0000 0.0000 [4 per cell]  4 Cu 2.69, 4 Ru 2.69
2 Cu 0.2500 0.2500 0.7500 [4 per cell]  4 Ru 2.69, 4 Sc 2.69
3 Ru 0.0000 0.0000 0.5000 [4 per cell]  4 Ru 2.69, 4 Cu 2.69
4 Ru 0.2500 0.2500 0.2500 [4 per cell]  4 Ru 2.69, 4 Sc 2.69

Properties
- Spin magnetization: 0.0 μB per cell
- D(E_F): 4.099 states/eV/f.u.
- Total energy: -7.291 eV/atom
- V: 240 Å³/cell


Compound: ScCuRu2
Source: the Alexandria database
Functional: PBE
Structure: relaxed

Lattice parameters (Å, degrees): 3.0694 4.5232 8.6920 90.00 90.00 90.00
Last column: nearest neighbours and their distance in Å.
Space group Immm (No. 71)
Symmetry-distinct sites (fractional):
1 Sc 0.0000 0.0000 0.0000 [2 per cell]  4 Ru 2.68, 4 Cu 2.73
2 Cu 0.0000 0.0000 0.5000 [2 per cell]  4 Ru 2.64, 4 Sc 2.73
3 Ru 0.0000 0.5000 0.2470 [4 per cell]  2 Cu 2.64, 2 Sc 2.68, 4 Ru 2.73

Properties
- Spin magnetization: 0.1 μB per cell
- D(E_F): 5.477 states/eV/f.u.
- Total energy: -7.218 eV/atom
- V: 121 Å³/cell


Compound: Sc2Cu2Ru
Source: the Alexandria database
Functional: PBE
Structure: relaxed

Lattice parameters (Å, degrees): 6.8138 6.8138 3.5490 90.00 90.00 90.00
Last column: nearest neighbours and their distance in Å.
Space group P4/mbm (No. 127)
Symmetry-distinct sites (fractional):
1 Sc 0.1857 0.3143 0.0000 [4 per cell]  6 Cu 2.57-2.78
2 Cu 0.1213 0.6213 0.5000 [4 per cell]  1 Cu 2.34, 2 Sc 2.57
3 Ru 0.0000 0.0000 0.5000 [2 per cell]  4 Cu 2.71

Properties
- Spin magnetization: 0.0 μB per cell
- D(E_F): 4.503 states/eV/f.u.
- Total energy: -6.205 eV/atom
- V: 165 Å³/cell